NbTl2W: relaxed, GGA-PBE.

a b c (Å): 7.7433 7.7433 5.8441
angles (deg): 90.00 90.00 90.00
Element x y z (fractional)
Nb: 0.0000 0.0000 0.0000
Nb: 0.0000 0.5000 0.2500
Nb: 0.5000 0.0000 0.7500
Nb: 0.5000 0.5000 0.5000
Tl: 0.2435 0.2500 0.6250
Tl: 0.2500 0.7435 0.8750
Tl: 0.2500 0.7565 0.3750
Tl: 0.2565 0.2500 0.1250
Tl: 0.7435 0.7500 0.1250
Tl: 0.7500 0.2435 0.3750
Tl: 0.7500 0.2565 0.8750
Tl: 0.7565 0.7500 0.6250
W: 0.0000 0.0000 0.5000
W: 0.0000 0.5000 0.7500
W: 0.5000 0.0000 0.2500
W: 0.5000 0.5000 0.0000

Computed properties:
Energy of formation in eV/f.u.: 4.94
Excess energy over the best structure of this formula in the dataset in meV/atom: 257
Size of the total moment in Bohr magnetons per cell: 3.810